TlCrBr: optimized geometry, PBE.

Values from the calculation:
energy above the most stable polymorph in this dataset: 112 meV/atom
formation energy without anion corrections: 0.252 eV/atom
symmetry: No. 156

Cell: 4.5938 4.5938 4.4342 Å, 90.00 90.00 120.00°
Element x y z (fractional)
Br1 0.0000 0.0000 0.1663
Cr1 0.6667 0.3333 0.1674
Tl1 0.3333 0.6667 0.6663